No. 1
# PBE PmTmZn3, relaxed
data_PmTmZn3
_symmetry_space_group_name_H-M 'C 1 2/m 1'
_symmetry_Int_Tables_number 12
_cell_length_a 14.327
_cell_length_b 4.853
_cell_length_c 6.339
_cell_angle_alpha 90.00
_cell_angle_beta 99.65
_cell_angle_gamma 90.00
loop_
_symmetry_equiv_pos_as_xyz
'x,y,z'
'-x,-y,-z'
'-x,y,-z'
'x,-y,z'
'x+1/2,y+1/2,z'
'-x+1/2,-y+1/2,-z'
'-x+1/2,y+1/2,-z'
'x+1/2,-y+1/2,z'
loop_
_atom_site_label
_atom_site_type_symbol
_atom_site_fract_x
_atom_site_fract_y
_atom_site_fract_z
_atom_site_occupancy
Pm1 Pm 0.113 0.000 0.452 1
Tm1 Tm 0.182 0.500 0.109 1
Zn1 Zn 0.014 0.500 0.721 1
Zn2 Zn 0.079 0.000 0.914 1
Zn3 Zn 0.199 0.500 0.660 1
# - energy of formation from the pure elements (meV per atom) = -235
# - distance to the lowest polymorph of the same formula (eV per formula unit) = 0.48
# - M_tot (μB per formula unit) = 0.00

***

No. 2
# PBE Ac3NbSi2N6, relaxed
data_Ac3NbSi2N6
_symmetry_space_group_name_H-M 'P -3 m 1'
_symmetry_Int_Tables_number 164
_symmetry_space_group_name_Hall '-P 3 2"'
_cell_length_a 5.7314
_cell_length_b 5.7314
_cell_length_c 6.7506
_cell_angle_alpha 90.00
_cell_angle_beta 90.00
_cell_angle_gamma 120.00
loop_
_atom_site_label
_atom_site_type_symbol
_atom_site_fract_x
_atom_site_fract_y
_atom_site_fract_z
_atom_site_occupancy
Ac1 Ac 0.0000 0.0000 0.0000 1
Ac2 Ac 0.3333 0.6667 0.6535 1
Nb1 Nb 0.0000 0.0000 0.5000 1
Si1 Si 0.3333 0.6667 0.1962 1
N1 N 0.1716 0.3433 0.3129 1
# - M_tot (μB per formula unit) = 0.00
# - uncorrected formation energy (meV per atom) = -1132

***

Result set for electronic total energy: -2.84; -8.06 eV per atom, one per record in the order listed.